# ScInRe2 (PBE, optimized geometry)
data_ScInRe2
_space_group_name_H-M_alt 'P 1 2/m 1'
_space_group_IT_number 10
_cell_length_a 2.8719
_cell_length_b 4.7150
_cell_length_c 5.2813
_cell_angle_alpha 90.00
_cell_angle_beta 95.81
_cell_angle_gamma 90.00
loop_
_space_group_symop_operation_xyz
'x,y,z'
'-x,-y,-z'
'-x,y,-z'
'x,-y,z'
loop_
_atom_site_label
_atom_site_fract_x
_atom_site_fract_y
_atom_site_fract_z
Sc1 0.0000 0.0000 0.0000
In1 0.5000 0.0000 0.5000
Re1 0.3121 0.5000 0.7781
# Energy, eV per atom: -8.2290
# Energy of formation, eV per atom: 0.263
# Spin magnetization, μB/f.u.: 0.00

***

# ScInRe2 (PBE, optimized geometry)
data_ScInRe2
_space_group_name_H-M_alt 'I -4 2 d'
_space_group_IT_number 122
_space_group_name_Hall 'I -4 2bw'
_cell_length_a 7.5089
_cell_length_b 7.5089
_cell_length_c 5.4473
_cell_angle_alpha 90.00
_cell_angle_beta 90.00
_cell_angle_gamma 90.00
loop_
_atom_site_label
_atom_site_fract_x
_atom_site_fract_y
_atom_site_fract_z
Sc1 0.0000 0.0000 0.0000
In1 0.0000 0.0000 0.5000
Re1 0.2474 0.7500 0.6250
# Energy, eV per atom: -7.4898
# Energy of formation, eV per atom: 1.002
# Spin magnetization, μB/f.u.: 0.00

***

# ScIn2Re (PBE, optimized geometry)
data_ScIn2Re
_space_group_name_H-M_alt 'P m m m'
_space_group_IT_number 47
_cell_length_a 2.9288
_cell_length_b 4.4243
_cell_length_c 5.9775
_cell_angle_alpha 90.00
_cell_angle_beta 90.00
_cell_angle_gamma 90.00
loop_
_space_group_symop_operation_xyz
'x,y,z'
'-x,-y,-z'
'-x,-y,z'
'x,y,-z'
'x,-y,-z'
'-x,y,z'
'-x,y,-z'
'x,-y,z'
loop_
_atom_site_label
_atom_site_fract_x
_atom_site_fract_y
_atom_site_fract_z
Sc1 0.0000 0.0000 0.0000
In1 0.5000 0.5000 0.2627
Re1 0.0000 0.0000 0.5000
# Energy, eV per atom: -5.8902
# Energy of formation, eV per atom: 0.174
# Excess energy over the best structure of this formula in the dataset, eV per atom: 0.103
# Spin magnetization, μB/f.u.: 0.00

***

# Sc2InRe (PBE, optimized geometry)
data_Sc2InRe
_space_group_name_H-M_alt 'P 1 2/m 1'
_space_group_IT_number 10
_cell_length_a 5.2535
_cell_length_b 2.9476
_cell_length_c 5.6429
_cell_angle_alpha 90.00
_cell_angle_beta 115.72
_cell_angle_gamma 90.00
loop_
_space_group_symop_operation_xyz
'x,y,z'
'-x,-y,-z'
'-x,y,-z'
'x,-y,z'
loop_
_atom_site_label
_atom_site_fract_x
_atom_site_fract_y
_atom_site_fract_z
Sc1 0.0000 0.0000 0.0000
Sc2 0.0000 0.5000 0.5000
In1 0.5000 0.0000 0.5000
Re1 0.5000 0.5000 0.0000
# Energy, eV per atom: -6.8279
# Energy of formation, eV per atom: 0.134
# Spin magnetization, μB/f.u.: 0.00

***

# ScInRe2 (PBE, optimized geometry)
data_ScInRe2
_space_group_name_H-M_alt 'P 4/m m m'
_space_group_IT_number 123
_space_group_name_Hall '-P 4 2'
_cell_length_a 2.8204
_cell_length_b 2.8204
_cell_length_c 8.8759
_cell_angle_alpha 90.00
_cell_angle_beta 90.00
_cell_angle_gamma 90.00
loop_
_atom_site_label
_atom_site_fract_x
_atom_site_fract_y
_atom_site_fract_z
Sc1 0.0000 0.0000 0.0000
In1 0.0000 0.0000 0.5000
Re1 0.5000 0.5000 0.2490
# Energy, eV per atom: -8.0092
# Energy of formation, eV per atom: 0.482
# Spin magnetization, μB/f.u.: 0.00

***

# ScIn2Re (PBE, optimized geometry)
data_ScIn2Re
_space_group_name_H-M_alt 'C m m m'
_space_group_IT_number 65
_space_group_name_Hall '-C 2 2'
_cell_length_a 3.4103
_cell_length_b 4.8978
_cell_length_c 9.5842
_cell_angle_alpha 90.00
_cell_angle_beta 90.00
_cell_angle_gamma 90.00
loop_
_atom_site_label
_atom_site_fract_x
_atom_site_fract_y
_atom_site_fract_z
Sc1 0.0000 0.0000 0.0000
In1 0.0000 0.5000 0.2649
Re1 0.0000 0.0000 0.5000
# Energy, eV per atom: -5.7334
# Energy of formation, eV per atom: 0.331
# Excess energy over the best structure of this formula in the dataset, eV per atom: 0.260
# Spin magnetization, μB/f.u.: 0.00